VASP calculation (PBE-GGA) on an optimized crystal structure of CaCdSn2Bi.

Lattice parameters (Å, degrees): 5.9136 5.6831 5.9136 90.00 90.00 90.00
With the nearest neighbours (Å) after each atom.
Fractional coordinates of all 5 atoms:
Sn 0.5000 0.0000 0.0000  2 Bi 2.96
Sn 0.0000 0.0000 0.5000  2 Bi 2.96
Ca 0.5000 0.5000 0.5000  8 Sn 4.10, 4 Cd 4.18
Cd 0.0000 0.5000 0.0000  2 Bi 2.84
Bi 0.0000 0.0000 0.0000  2 Cd 2.84, 4 Sn 2.96

## Properties
**N(E_F)**: 0.657 states/eV per atom
**E_form**: 0.360 eV/atom
**Space-group type**: P4/mmm
**Uncorrected energy**: -13.00 eV for the cell shown



VASP calculation (PBE-GGA) on an optimized crystal structure of KNd2Th.

Lattice parameters (Å, degrees): 3.6691 3.6691 13.5730 82.23 82.23 60.00
With the nearest neighbours (Å) after each atom.
Fractional coordinates of all 4 atoms:
Nd 0.0961 0.0961 0.7118  3 Th 3.54, 6 Nd 3.67, 1 K 3.86
Nd 0.9039 0.9039 0.2882  3 Th 3.54, 6 Nd 3.67, 1 K 3.86
K 0.0000 0.0000 0.0000  6 K 3.67, 2 Nd 3.86
Th 0.5000 0.5000 0.5000  6 Nd 3.54, 6 Th 3.67

## Properties
**N(E_F)**: 1.109 states/eV per atom
**E_form**: 0.184 eV/atom
**Space-group type**: R-3m
**Uncorrected energy**: -17.32 eV for the cell shown



VASP calculation (PBE-GGA) on an optimized crystal structure of NaFeAg2Cl6.

Lattice parameters (Å, degrees): 6.6830 6.6838 7.0972 61.90 61.88 60.01
With the nearest neighbours (Å) after each atom.
Fractional coordinates of all 10 atoms:
Cl 0.9736 0.5337 0.2731  1 Fe 2.29
Cl 0.5340 0.2192 0.2729  1 Fe 2.29
Cl 0.6583 0.0979 0.8308  1 Fe 2.29, 1 Ag 2.57
Cl 0.4131 0.6582 0.8309  1 Fe 2.29, 1 Ag 2.57
Cl 0.2191 0.9738 0.2730  1 Fe 2.29
Cl 0.0982 0.4131 0.8307  1 Fe 2.29, 1 Ag 2.57
Na 0.8164 0.8163 0.5514  6 Cl 2.85
Fe 0.3160 0.3160 0.0520  6 Cl 2.29
Ag 0.0334 0.0333 0.9000  3 Cl 2.57
Ag 0.5996 0.6000 0.2005  3 Cl 2.57

## Properties
**Raw formation energy**: -16.90 kcal/mol of atoms
**N(E_F)**: 0.760 states/eV per atom
**Space-group type**: R3
**Uncorrected energy**: -33.89 eV for the cell shown



VASP calculation (PBE-GGA) on an optimized crystal structure of NaLa2TaTi2O10.

Lattice parameters (Å, degrees): 3.8817 3.8835 15.2758 97.30 97.29 90.00
With the nearest neighbours (Å) after each atom.
Fractional coordinates of all 16 atoms:
La 0.4254 0.4243 0.8378  4 O 2.43-2.45
La 0.5738 0.5741 0.1344  12 O 2.67-2.76
Ti 0.8573 0.8564 0.7005  1 O 1.69
Ti 0.0067 0.0069 0.9995  6 O 1.87-2.06
O 0.5139 0.0156 0.0118  2 Ti 1.95
O 0.1376 0.6385 0.2598  2 Ta 2.00
O 0.2134 0.2136 0.4111  1 Ta 1.80
O 0.8012 0.8000 0.5878  1 Ti 1.69
O 0.0769 0.0777 0.1364  1 Ti 2.06
O 0.0142 0.5145 0.0114  2 Ti 1.94-1.96
O 0.9458 0.9463 0.8754  1 Ti 1.87
O 0.3771 0.8761 0.7401  2 Ti 2.03
O 0.6384 0.1393 0.2611  2 Ta 1.99
O 0.8763 0.3758 0.7388  2 Ti 2.02-2.03
Ta 0.1534 0.1541 0.2914  5 O 1.80-2.00
Na 0.7595 0.2576 0.5027  4 O 2.33-2.38

## Properties
**Raw formation energy**: -71.01 kcal/mol of atoms
**N(E_F)**: 0.000 states/eV per atom
**Space-group type**: P1
**Uncorrected energy**: -137.67 eV for the cell shown



VASP calculation (PBE-GGA) on an optimized crystal structure of Pr8NiRu3Cl4.

Lattice parameters (Å, degrees): 8.1234 9.0192 8.1215 116.75 120.01 90.00
With the nearest neighbours (Å) after each atom.
Fractional coordinates of all 16 atoms:
Pr 0.7631 0.2949 0.5263  2 Ru 2.82, 1 Ni 2.85
Pr 0.7633 0.2951 0.0319  2 Ru 2.82, 1 Ni 2.85
Pr 0.2632 0.2896 0.5263  3 Ru 2.85
Pr 0.7314 0.7049 0.9681  2 Ru 2.82, 1 Ni 2.85
Pr 0.7368 0.7104 0.4737  3 Ru 2.85
Pr 0.2686 0.2951 0.0319  2 Ru 2.82, 1 Ni 2.85
Pr 0.2369 0.7051 0.4737  2 Ru 2.82, 1 Ni 2.85
Pr 0.2367 0.7049 0.9681  2 Ru 2.82, 1 Ni 2.85
Ru 0.5000 0.5000 0.5000  6 Pr 2.82-2.85
Ru 0.5000 0.5000 0.0000  6 Pr 2.82-2.85
Ru 0.0000 0.5000 0.5000  6 Pr 2.82-2.85
Ni 0.0000 0.5000 0.0000  6 Pr 2.85
Cl 0.5000 0.0000 0.0000  6 Pr 3.25
Cl 0.5000 0.0000 0.5000  6 Pr 3.24-3.28
Cl 0.0000 0.0000 0.0000  6 Pr 3.24-3.28
Cl 0.0000 0.0000 0.5000  6 Pr 3.24-3.28

## Properties
**Raw formation energy**: -20.57 kcal/mol of atoms
**N(E_F)**: 0.320 states/eV per atom
**Space-group type**: R-3m
**Uncorrected energy**: -93.50 eV for the cell shown



VASP calculation (PBE-GGA) on an optimized crystal structure of LaHoTmMg.

Lattice parameters (Å, degrees): 5.5664 5.5664 5.5664 60.00 60.00 60.00
With the nearest neighbours (Å) after each atom.
Fractional coordinates of all 4 atoms:
Ho 0.7500 0.7500 0.7500  4 Mg 3.41, 4 Tm 3.41
Tm 0.5000 0.5000 0.5000  4 Ho 3.41, 4 La 3.41
La 0.2500 0.2500 0.2500  4 Tm 3.41, 4 Mg 3.41
Mg 0.0000 0.0000 0.0000  4 La 3.41, 4 Ho 3.41

## Properties
**N(E_F)**: 1.204 states/eV per atom
**E_form**: 0.024 eV/atom
**Space-group type**: F-43m
**Uncorrected energy**: -15.48 eV for the cell shown
**Excess energy over the best structure of this formula in the dataset**: 0.759 kcal/mol of atoms



VASP calculation (PBE-GGA) on an optimized crystal structure of Pa5V2N12.

Lattice parameters (Å, degrees): 5.8592 6.7940 7.3856 105.52 90.00 115.54
With the nearest neighbours (Å) after each atom.
Fractional coordinates of all 19 atoms:
N 0.4980 0.9959 0.1907  2 V 2.14, 2 Pa 2.21-2.24
N 0.3968 0.3056 0.5738  4 Pa 2.29-2.41
N 0.9089 0.3056 0.5738  4 Pa 2.29-2.41
N 0.0013 0.0027 0.8222  2 V 1.87
N 0.5020 0.0041 0.8093  2 V 2.14, 2 Pa 2.21-2.24
N 0.5633 0.6657 0.9132  1 V 1.97
N 0.0911 0.6944 0.4262  4 Pa 2.29-2.41
N 0.6032 0.6944 0.4262  4 Pa 2.29-2.41
N 0.9987 0.9973 0.1778  2 V 1.87
N 0.8976 0.3343 0.0868  1 V 1.97
N 0.1024 0.6657 0.9132  1 V 1.97
N 0.4367 0.3343 0.0868  1 V 1.97
Pa 0.3150 0.6300 0.6538  7 N 2.24-2.38
Pa 0.0000 0.0000 0.5000  6 N 2.29-2.38
Pa 0.3132 0.6264 0.1594  7 N 2.21-2.41
Pa 0.6868 0.3736 0.8406  7 N 2.21-2.41
Pa 0.6850 0.3700 0.3462  7 N 2.24-2.38
V 0.7728 0.0000 0.0000  4 N 1.87-1.97
V 0.2272 0.0000 0.0000  4 N 1.87-1.97

## Properties
**Raw formation energy**: -30.87 kcal/mol of atoms
**N(E_F)**: 0.579 states/eV per atom
**Space-group type**: C2/m
**Uncorrected energy**: -191.05 eV for the cell shown



VASP calculation (PBE-GGA) on an optimized crystal structure of Pm5PaBi6.

Lattice parameters (Å, degrees): 7.8963 7.8963 7.8890 99.59 99.59 120.02
With the nearest neighbours (Å) after each atom.
Fractional coordinates of all 12 atoms:
Bi 0.7563 0.7563 0.2474  1 Pa 3.16, 5 Pm 3.23-3.28
Bi 0.4089 0.0817 0.2463  1 Pa 3.17, 5 Pm 3.22-3.25
Bi 0.9183 0.5911 0.7537  1 Pa 3.17, 5 Pm 3.22-3.25
Bi 0.0817 0.4089 0.2463  1 Pa 3.17, 5 Pm 3.22-3.25
Bi 0.5911 0.9183 0.7537  1 Pa 3.17, 5 Pm 3.22-3.25
Bi 0.2437 0.2437 0.7526  1 Pa 3.16, 5 Pm 3.23-3.28
Pm 0.5000 0.5000 0.5000  6 Bi 3.22-3.28
Pm 0.8305 0.1695 0.5000  6 Bi 3.22-3.25
Pm 0.3342 0.6658 0.0000  6 Bi 3.23
Pm 0.1695 0.8305 0.5000  6 Bi 3.22-3.25
Pm 0.6658 0.3342 0.0000  6 Bi 3.23
Pa 0.0000 0.0000 0.0000  6 Bi 3.16-3.17

## Properties
**N(E_F)**: 0.644 states/eV per atom
**E_form**: -0.800 eV/atom
**Space-group type**: C2/m
**Uncorrected energy**: -66.13 eV for the cell shown



VASP calculation (PBE-GGA) on an optimized crystal structure of Ba2ZnPtBr.

Lattice parameters (Å, degrees): 6.1540 6.1540 4.8885 90.00 90.00 90.00
With the nearest neighbours (Å) after each atom.
Fractional coordinates of all 5 atoms:
Ba 0.0000 0.5000 0.0000  2 Pt 3.08
Ba 0.5000 0.0000 0.0000  2 Pt 3.08
Pt 0.0000 0.0000 0.0000  2 Zn 2.44
Br 0.5000 0.5000 0.5000  8 Ba 3.93, 4 Zn 4.35
Zn 0.0000 0.0000 0.5000  2 Pt 2.44

## Properties
**Raw formation energy**: -21.10 kcal/mol of atoms
**N(E_F)**: 0.588 states/eV per atom
**Space-group type**: P4/mmm
**Uncorrected energy**: -17.41 eV for the cell shown



VASP calculation (PBE-GGA) on an optimized crystal structure of CoTe2C.

Lattice parameters (Å, degrees): 5.4632 5.4632 6.6076 65.58 65.58 90.00
With the nearest neighbours (Å) after each atom.
Fractional coordinates of all 8 atoms:
Co 0.7500 0.2500 0.5000  4 Te 2.40
Co 0.0000 0.0000 0.0000  4 Te 2.40
Te 0.8750 0.8590 0.7500  2 C 2.30, 2 Co 2.40
Te 0.1410 0.6250 0.2500  2 C 2.30, 2 Co 2.40
Te 0.6090 0.1250 0.2500  2 C 2.30, 2 Co 2.40
Te 0.3750 0.3910 0.7500  2 C 2.30, 2 Co 2.40
C 0.2500 0.7500 0.5000  4 Te 2.30
C 0.5000 0.5000 0.0000  4 Te 2.30

## Properties
**Raw formation energy**: 19.55 kcal/mol of atoms
**N(E_F)**: 0.843 states/eV per atom
**Space-group type**: I-42d
**Uncorrected energy**: -38.44 eV for the cell shown



VASP calculation (PBE-GGA) on an optimized crystal structure of TmFe2GeH.

Lattice parameters (Å, degrees): 3.5150 5.4787 7.2700 90.00 90.00 108.71
With the nearest neighbours (Å) after each atom.
Fractional coordinates of all 10 atoms:
Fe 0.8371 0.6743 0.4463  1 H 1.73
Fe 0.1629 0.3257 0.9463  1 H 1.73
Fe 0.8371 0.6743 0.0537  1 H 1.73
Fe 0.1629 0.3257 0.5537  1 H 1.73
H 0.0000 0.0000 0.0000  2 Fe 1.73
H 0.0000 0.0000 0.5000  2 Fe 1.73
Ge 0.7384 0.4768 0.7500  6 Fe 2.40-2.43
Ge 0.2616 0.5232 0.2500  6 Fe 2.40-2.43
Tm 0.5409 0.0817 0.2500  4 H 2.56
Tm 0.4591 0.9183 0.7500  4 H 2.56

## Properties
**N(E_F)**: 0.555 states/eV per atom
**Space-group type**: Cmcm
**Uncorrected energy**: -62.43 eV for the cell shown



VASP calculation (PBE-GGA) on an optimized crystal structure of Tb3PuSb4.

Lattice parameters (Å, degrees): 4.4151 7.6304 7.6304 109.46 90.00 90.00
With the nearest neighbours (Å) after each atom.
Fractional coordinates of all 8 atoms:
Sb 0.5000 0.7500 0.2500  1 Pu 3.11, 5 Tb 3.11-3.12
Sb 0.0000 0.7499 0.7499  4 Tb 3.11-3.12, 2 Pu 3.12
Sb 0.5000 0.2500 0.7500  1 Pu 3.11, 5 Tb 3.11-3.12
Sb 0.0000 0.2501 0.2501  4 Tb 3.11-3.12, 2 Pu 3.12
Tb 0.0000 0.0000 0.5000  6 Sb 3.11-3.12
Tb 0.5000 0.5000 0.5000  6 Sb 3.11-3.12
Tb 0.0000 0.5000 0.0000  6 Sb 3.11-3.12
Pu 0.5000 0.0000 0.0000  6 Sb 3.11-3.12

## Properties
**Raw formation energy**: -23.14 kcal/mol of atoms
**N(E_F)**: 2.041 states/eV per atom
**Space-group type**: Cmmm
**Uncorrected energy**: -52.74 eV for the cell shown
**Excess energy over the best structure of this formula in the dataset**: 0.000 kcal/mol of atoms